PrDyPt2 after structural relaxation. Source: the Alexandria database, functional GGA-PBE.

energy above the most stable polymorph in this dataset = 97 meV per atom
V = 90.9 Å³/cell
formation energy from the elements = -1.091 eV/atom

Cell: 5.0477 5.0477 5.0477 Å, 60.00 60.00 60.00°
Atoms (fractional coordinates):
Pt 0.2500 0.2500 0.2500
Pt 0.7500 0.7500 0.7500
Dy 0.0000 0.0000 0.0000
Pr 0.5000 0.5000 0.5000